PuBAs | OQMD via LeMat-Bulk | GGA-PBE | relaxed; relative energy among the computed polymorphs = 1.23 eV/f.u.; V = 61 Å³/f.u.; mass density = 8.946 g/cm3
1.0
0.000 3.128 3.128
3.128 0.000 3.128
3.128 3.128 0.000
As Pu B
1 1 1
Cartesian
1.564 1.564 1.564
0.000 0.000 0.000
4.692 4.692 4.692

Sm3Si2S8I | OQMD via LeMat-Bulk | GGA-PBE | relaxed; V = 329 Å³/f.u.; mass density = 4.500 g/cm3; E_tot = -5.68 eV per atom
1.0
7.235 0.750 -2.746
-5.256 7.024 -0.922
3.553 2.182 9.955
S Si I Sm
16 4 2 6
Cartesian
2.397 1.339 -0.852
3.645 3.733 5.090
0.258 4.065 3.313
2.496 4.696 -1.623
6.457 2.666 3.259
6.807 4.468 5.976
5.274 5.891 2.974
3.604 3.229 1.540
-0.924 7.289 3.029
-1.275 5.487 0.311
0.065 6.940 7.541
5.467 3.015 -1.254
3.135 8.617 7.140
1.887 6.223 1.198
3.036 5.259 7.911
1.929 6.726 4.747
3.467 2.818 -1.932
2.065 7.137 8.219
0.834 6.103 3.035
4.698 3.853 3.252
9.789 2.375 4.762
0.999 0.557 2.447
5.533 1.934 6.378
4.647 6.507 5.739
5.255 0.998 0.831
4.662 5.602 0.081
0.870 4.353 6.206
0.885 3.448 0.549

SrSn2Au | OQMD via LeMat-Bulk | GGA-PBE | relaxed; V = 107 Å³/f.u.; mass density = 8.090 g/cm3; E_tot = -3.59 eV per atom
1.0
0.000 3.770 3.770
3.770 0.000 3.770
3.770 3.770 0.000
Au Sn Sr
1 2 1
Cartesian
3.770 3.770 3.770
5.655 5.655 5.655
0.000 0.000 0.000
1.885 1.885 1.885

MgCdSeO | OQMD via LeMat-Bulk | GGA-PBE | relaxed; relative energy among the computed polymorphs = 1.67 eV/f.u.; V = 71 Å³/f.u.; mass density = 5.432 g/cm3
1.0
-3.842 0.000 0.000
0.000 0.000 -5.946
-1.921 -6.200 0.000
O Cd Se Mg
2 2 2 2
Cartesian
0.000 0.000 0.000
0.000 0.000 -2.973
-3.842 -4.868 -1.487
-1.921 -1.332 -4.460
-1.921 -2.836 -1.487
-3.842 -3.364 -4.460
-1.921 -4.990 -4.460
-3.842 -1.210 -1.487

GdTm2Tl3AgPt2 | OQMD via LeMat-Bulk | GGA-PBE | relaxed; V = 203 Å³/f.u.; mass density = 13.121 g/cm3; E_tot = -4.61 eV per atom
1.0
3.746 0.000 0.000
0.000 6.875 3.946
0.000 -6.875 3.946
Tm Tl Gd Pt Ag
2 3 1 2 1
Cartesian
0.000 -4.053 2.327
0.000 4.053 2.327
1.873 -5.010 5.012
1.873 0.000 5.759
1.873 5.010 5.012
0.000 0.000 3.233
1.873 2.323 3.955
1.873 -2.323 3.955
0.000 0.000 7.885

Y4Pd3Pt | OQMD via LeMat-Bulk | GGA-PBE | relaxed; formation energy from the elements = -1.009 eV/atom; V = 179 Å³/f.u.; mass density = 8.062 g/cm3
1.0
5.583 0.000 0.000
0.000 4.576 0.000
-0.010 0.000 7.014
Pd Y Pt
3 4 1
Cartesian
0.843 0.000 3.217
3.654 2.288 0.297
4.726 2.288 3.790
3.577 0.000 2.216
4.784 0.000 5.739
1.977 2.288 4.819
0.807 2.288 1.257
1.923 0.000 6.721

YAlCu | OQMD via LeMat-Bulk | GGA-PBE | relaxed; V = 72 Å³/f.u.; mass density = 4.126 g/cm3; E_tot = -4.22 eV per atom
1.0
0.000 3.305 3.305
3.305 0.000 3.305
3.305 3.305 0.000
Al Cu Y
1 1 1
Cartesian
0.000 0.000 0.000
3.305 3.305 3.305
4.958 4.958 4.958

Lu2Se3 | OQMD via LeMat-Bulk | GGA-PBE | relaxed; V = 139 Å³/f.u.; mass density = 7.027 g/cm3; E_tot = -5.74 eV per atom
1.0
-4.192 5.192 -1.966
-1.423 -3.627 5.764
7.197 8.513 7.134
Se Lu
12 8
Cartesian
1.579 8.715 3.215
2.154 2.111 4.653
-0.202 -1.328 4.719
2.558 8.642 8.729
-3.282 0.878 5.194
0.002 1.364 7.716
-0.977 1.436 2.202
2.558 5.894 5.593
-0.573 7.967 6.278
4.863 9.200 5.737
-0.977 4.185 5.338
1.783 11.406 6.212
4.705 7.654 10.176
0.000 0.000 0.000
-0.547 1.441 4.970
2.128 8.637 5.961
3.598 4.257 3.567
-3.124 2.424 0.755
0.183 6.337 4.033
1.398 3.742 6.898

What did the eighth record say?
Lu2Se3 | OQMD via LeMat-Bulk | GGA-PBE | relaxed; V = 139 Å³/f.u.; mass density = 7.027 g/cm3; E_tot = -5.74 eV per atom
1.0
-4.192 5.192 -1.966
-1.423 -3.627 5.764
7.197 8.513 7.134
Se Lu
12 8
Cartesian
1.579 8.715 3.215
2.154 2.111 4.653
-0.202 -1.328 4.719
2.558 8.642 8.729
-3.282 0.878 5.194
0.002 1.364 7.716
-0.977 1.436 2.202
2.558 5.894 5.593
-0.573 7.967 6.278
4.863 9.200 5.737
-0.977 4.185 5.338
1.783 11.406 6.212
4.705 7.654 10.176
0.000 0.000 0.000
-0.547 1.441 4.970
2.128 8.637 5.961
3.598 4.257 3.567
-3.124 2.424 0.755
0.183 6.337 4.033
1.398 3.742 6.898

Which value of mass density does entry 3 give? 8.090 g/cm3

Repeat the sixth record exactly.
Y4Pd3Pt | OQMD via LeMat-Bulk | GGA-PBE | relaxed; formation energy from the elements = -1.009 eV/atom; V = 179 Å³/f.u.; mass density = 8.062 g/cm3
1.0
5.583 0.000 0.000
0.000 4.576 0.000
-0.010 0.000 7.014
Pd Y Pt
3 4 1
Cartesian
0.843 0.000 3.217
3.654 2.288 0.297
4.726 2.288 3.790
3.577 0.000 2.216
4.784 0.000 5.739
1.977 2.288 4.819
0.807 2.288 1.257
1.923 0.000 6.721